1.
DyHo2TmTl2 | OQMD via LeMat-Bulk | PBE | relaxed; energy = -4.079 eV/atom; V = 166.5 Å³ per cell; total magnetic moment = 1.0 μB/f.u.; theoretical density = 10.7 g cm⁻³
1.0
-3.020 -2.348 3.761
3.333 -2.952 -2.993
4.859 0.937 4.486
Tl Ho Dy Tm
2 2 1 1
Cartesian
3.645 -2.282 1.502
0.000 0.000 0.000
2.734 -1.848 4.867
0.320 -2.314 2.638
1.215 -2.751 -0.742
2.430 0.468 2.243

2.
Dy2Ho5Tm | OQMD via LeMat-Bulk | PBE | relaxed; V = 248.5 Å³ per cell; total magnetic moment = 0.1 μB/f.u.; theoretical density = 8.8 g cm⁻³; energy of formation from the pure elements = 0.00 eV per atom
1.0
-2.638 0.425 4.909
1.603 -6.830 1.453
6.092 -1.602 3.413
Tm Ho Dy
1 5 2
Cartesian
1.280 -1.402 0.809
5.097 -6.818 6.511
2.082 -4.825 1.537
2.043 -6.015 4.801
4.294 -3.395 5.783
4.333 -2.205 2.519
5.130 -5.622 3.244
1.246 -2.598 4.076

3.
Dy3Ho2Tm3 | OQMD via LeMat-Bulk | PBE | relaxed; V = 247.1 Å³ per cell; total magnetic moment = 0.2 μB/f.u.; theoretical density = 8.9 g cm⁻³; energy of formation from the pure elements = 0.00 eV per atom
1.0
-1.415 5.349 0.544
5.592 1.036 4.357
6.339 1.952 -2.709
Ho Dy Tm
2 3 3
Cartesian
7.242 4.665 1.371
3.974 0.995 0.549
6.774 1.514 2.731
1.278 3.171 0.546
7.148 1.973 -0.807
4.453 4.149 -0.807
9.942 2.490 1.374
4.080 3.691 2.726

4.
Dy5Ho2Tm | OQMD via LeMat-Bulk | PBE | relaxed; V = 250.5 Å³ per cell; total magnetic moment = 0.3 μB/f.u.; theoretical density = 8.7 g cm⁻³; energy of formation from the pure elements = 0.01 eV per atom
1.0
-1.049 -5.122 -1.992
-4.524 -1.197 5.459
-6.958 1.684 -0.664
Tm Dy Ho
1 5 2
Cartesian
-9.569 0.406 3.996
-5.917 -1.638 -0.529
-2.438 -2.480 -0.197
-4.700 -3.078 2.532
-7.309 1.006 1.264
-6.089 -0.437 4.331
-8.179 -2.236 2.201
-3.824 0.162 1.597

Q: The highest theoretical density belongs to which entry?
A: DyHo2TmTl2